# 1
The following is a PBE-GGA calculation of a relaxed TbPuTl2S4 crystal, from the Alexandria database.

Calculated values
Formation energy without anion corrections ... -1.337 eV/atom
Total magnetization ... 5.0 μB/f.u.
E ... -50.904 eV/f.u.
Density of states at the Fermi level ... 10.59 states/eV/cell

```
TbPuTl2S4
1.0
-2.429 -2.901 1.513
5.357 -4.594 -0.210
0.177 3.509 7.013
S Tl Tb Pu
4 2 1 1
Cartesian
3.955 -2.675 1.220
3.046 -2.171 6.215
0.059 -1.815 2.101
1.578 1.590 5.583
2.767 -0.543 3.402
-1.126 0.304 4.263
0.000 0.000 0.000
1.464 -3.747 0.651
```



# 2
The following is a PBE-GGA calculation of a relaxed Tb2Tm3PuS6 crystal, from the Alexandria database.

Calculated values
Formation energy without anion corrections ... -1.957 eV/atom
Total magnetization ... 5.9 μB/f.u.
E ... -85.252 eV/f.u.
Density of states at the Fermi level ... 6.88 states/eV/cell

```
Tb2Tm3PuS6
1.0
3.867 0.000 0.000
0.000 7.812 0.261
-1.933 -2.270 8.176
S Tb Tm Pu
6 2 3 1
Cartesian
1.933 -0.144 2.795
1.933 3.842 2.866
0.000 5.687 5.642
1.933 -0.262 8.211
0.000 1.701 5.572
0.000 5.804 0.227
1.933 3.714 5.663
0.000 1.828 2.775
0.000 5.777 2.926
1.933 3.906 0.131
1.933 -0.235 5.512
1.933 0.000 0.000
```



# 3
The following is a PBE-GGA calculation of a relaxed Tb4Tm3PuS8 crystal, from the Alexandria database.

Calculated values
Formation energy without anion corrections ... -1.963 eV/atom
Total magnetization ... 5.7 μB/f.u.
E ... -110.697 eV/f.u.
Density of states at the Fermi level ... 11.93 states/eV/cell

```
Tb4Tm3PuS8
1.0
7.789 0.000 0.000
0.000 7.801 0.003
-3.894 -3.890 5.510
Tb S Pu Tm
4 8 1 3
Cartesian
1.947 -1.945 2.755
0.000 0.000 0.000
-1.947 -1.945 2.755
3.894 0.000 0.000
0.000 3.864 2.762
1.923 1.943 5.483
5.817 1.968 0.030
-1.923 1.943 5.483
1.972 1.968 0.030
3.894 3.862 2.727
3.894 0.047 2.751
0.000 0.048 2.786
0.000 3.900 0.001
-1.947 1.955 2.757
1.947 1.955 2.757
3.894 3.900 0.001
```



# 4
The following is a PBE-GGA calculation of a relaxed Tb2TmPu3S6 crystal, from the Alexandria database.

Calculated values
Formation energy without anion corrections ... -1.905 eV/atom
Total magnetization ... 17.1 μB/f.u.
E ... -104.357 eV/f.u.
Density of states at the Fermi level ... 22.59 states/eV/cell

```
Tb2TmPu3S6
1.0
3.914 0.000 0.000
0.000 7.876 0.252
-1.957 -2.297 8.260
S Tb Pu Tm
6 2 3 1
Cartesian
1.957 3.821 2.904
0.000 5.960 0.191
1.957 -0.381 8.320
1.957 -0.098 2.731
0.000 1.758 5.607
0.000 5.678 5.780
0.000 1.864 2.838
1.957 3.716 5.673
1.957 3.938 0.126
0.000 5.795 2.977
1.957 -0.215 5.535
1.957 0.000 0.000
```



# 5
The following is a PBE-GGA calculation of a relaxed TbPu2US4 crystal, from the Alexandria database.

Calculated values
Formation energy without anion corrections ... -1.724 eV/atom
Total magnetization ... 13.8 μB/f.u.
E ... -74.888 eV/f.u.
Density of states at the Fermi level ... 19.94 states/eV/cell

```
TbPu2US4
1.0
3.894 0.000 0.000
0.000 6.796 0.146
0.000 -2.360 6.418
S Pu U Tb
4 2 1 1
Cartesian
0.000 -0.059 4.854
0.000 4.495 1.710
1.947 3.313 4.930
1.947 1.123 1.634
0.000 2.218 3.282
1.947 -1.180 3.209
1.947 3.398 0.073
0.000 0.000 0.000
```



# 6
The following is a PBE-GGA calculation of a relaxed Tb2Pu3US6 crystal, from the Alexandria database.

Calculated values
Formation energy without anion corrections ... -1.420 eV/atom
Total magnetization ... 9.3 μB/f.u.
E ... -105.352 eV/f.u.
Density of states at the Fermi level ... 30.22 states/eV/cell

```
Tb2Pu3US6
1.0
3.572 0.000 0.000
0.000 9.639 0.643
-1.786 -2.992 7.438
S Tb Pu U
6 2 3 1
Cartesian
0.000 2.029 5.004
0.000 7.169 0.515
0.000 -0.235 2.298
1.786 6.881 5.783
1.786 -0.522 7.565
1.786 4.618 3.076
1.786 7.281 3.002
0.000 -0.634 5.078
1.786 1.902 2.862
0.000 4.745 5.219
1.786 4.820 0.321
1.786 0.000 0.000
```



# 7
The following is a PBE-GGA calculation of a relaxed Tb2YPuS4 crystal, from the Alexandria database.

Calculated values
Formation energy without anion corrections ... -1.969 eV/atom
Total magnetization ... 5.8 μB/f.u.
E ... -62.321 eV/f.u.
Density of states at the Fermi level ... 7.65 states/eV/cell

```
Tb2YPuS4
1.0
-0.228 2.256 -3.195
-5.786 -3.124 -1.792
-1.474 5.384 3.907
S Pu Y Tb
4 1 1 2
Cartesian
-4.717 -0.997 -0.367
-2.542 3.257 2.481
-5.566 2.819 -0.014
-1.922 1.698 -1.066
-3.007 -0.434 -2.494
0.000 0.000 0.000
-0.851 3.820 0.356
-3.630 1.130 1.057
```



# 8
The following is a PBE-GGA calculation of a relaxed Tb4YPu3S8 crystal, from the Alexandria database.

Calculated values
Formation energy without anion corrections ... -1.944 eV/atom
Total magnetization ... 17.1 μB/f.u.
E ... -132.110 eV/f.u.
Density of states at the Fermi level ... 23.25 states/eV/cell

```
Tb4YPu3S8
1.0
7.855 0.000 0.000
0.000 7.885 0.015
-3.928 -3.925 5.558
S Tb Pu Y
8 4 3 1
Cartesian
1.957 5.917 0.019
5.899 5.917 0.019
3.928 3.958 2.794
-1.971 -1.956 5.554
3.928 -0.001 2.785
1.971 -1.956 5.554
0.000 3.962 2.788
0.000 0.003 2.778
1.964 -1.962 2.779
0.000 0.000 0.000
3.928 0.000 0.000
-1.964 -1.962 2.779
1.964 1.980 2.786
3.928 3.943 0.008
-1.964 1.980 2.786
0.000 3.943 0.008
```



# 9
The following is a PBE-GGA calculation of a relaxed Tb2YPuS6 crystal, from the Alexandria database.

Calculated values
Formation energy without anion corrections ... -1.920 eV/atom
Total magnetization ... 5.0 μB/f.u.
E ... -74.019 eV/f.u.
Density of states at the Fermi level ... 11.91 states/eV/cell

```
Tb2YPuS6
1.0
-2.070 5.289 -4.014
-4.373 -1.149 -5.285
-6.989 2.363 0.692
Pu Tb S Y
1 2 6 1
Cartesian
-9.124 4.684 -7.199
-6.471 3.202 -4.495
-6.749 2.314 0.504
-3.975 3.599 -3.448
-7.267 5.425 -2.985
-7.310 1.940 -2.137
-6.206 0.689 -5.543
-9.242 3.134 -4.913
-6.339 4.731 -6.760
-2.402 1.432 -2.900
```



# 10
The following is a PBE-GGA calculation of a relaxed TbY2PuS6 crystal, from the Alexandria database.

Calculated values
Formation energy without anion corrections ... -1.922 eV/atom
Total magnetization ... 5.0 μB/f.u.
E ... -75.871 eV/f.u.
Density of states at the Fermi level ... 11.84 states/eV/cell

```
TbY2PuS6
1.0
-3.058 -6.123 1.196
2.107 -3.957 5.309
-4.452 -0.568 5.890
S Y Tb Pu
6 2 1 1
Cartesian
-2.601 -8.179 5.842
-5.286 -5.298 5.928
-2.538 -4.794 3.373
-2.853 -2.789 6.750
-3.090 -5.776 8.727
0.143 -5.098 6.579
-4.251 -0.704 5.709
-2.501 -5.460 6.017
-0.542 -3.208 2.370
-3.241 -8.534 8.566
```



# 11
The following is a PBE-GGA calculation of a relaxed Pu3Tl3TcS8 crystal, from the Alexandria database.

Calculated values
Formation energy without anion corrections ... -1.010 eV/atom
Total magnetization ... 12.0 μB/f.u.
E ... -108.623 eV/f.u.
Density of states at the Fermi level ... 26.99 states/eV/cell

```
Pu3Tl3TcS8
1.0
7.732 0.002 -0.016
-3.867 6.697 -0.009
0.015 -4.445 7.713
S Pu Tl Tc
8 3 3 1
Cartesian
3.876 0.015 5.377
-2.077 3.452 5.277
5.957 -1.197 2.410
1.783 -1.198 2.419
3.869 2.418 2.405
0.010 -0.164 5.282
0.003 2.239 2.310
2.097 3.453 5.268
-1.926 1.126 3.852
1.940 1.127 3.844
3.874 -2.221 3.848
0.000 0.000 0.000
-1.934 3.349 -0.005
1.932 3.349 -0.013
0.008 -2.222 3.856
```



# 12
The following is a PBE-GGA calculation of a relaxed PuTeS crystal, from the Alexandria database.

Calculated values
Formation energy without anion corrections ... -1.006 eV/atom
Total magnetization ... 4.9 μB/f.u.
Excess energy over the best structure of this formula in the dataset ... 157 meV/atom
E ... -24.620 eV/f.u.
Density of states at the Fermi level ... 9.68 states/eV/cell

```
PuTeS
1.0
-2.083 0.283 2.971
-2.801 -1.436 -1.827
4.032 -4.565 1.032
Pu Te S
1 1 1
Cartesian
-1.807 -2.630 1.213
0.029 -0.094 0.029
0.926 -2.994 0.934
```



# 13
The following is a PBE-GGA calculation of a relaxed PuTeS2 crystal, from the Alexandria database.

Calculated values
Formation energy without anion corrections ... 0.124 eV/atom
Total magnetization ... 6.7 μB/f.u.
E ... -25.232 eV/f.u.
Density of states at the Fermi level ... 9.32 states/eV/cell

```
PuTeS2
1.0
-0.402 0.404 -3.647
-2.066 -2.393 -1.906
-8.064 4.497 -0.481
S Pu Te
2 1 1
Cartesian
-4.582 -0.482 -5.152
-5.949 2.990 -0.881
0.000 0.000 0.000
-5.266 1.254 -3.017
```



# 14
The following is a PBE-GGA calculation of a relaxed PuTeS crystal, from the Alexandria database.

Calculated values
Formation energy without anion corrections ... -1.163 eV/atom
Total magnetization ... 4.9 μB/f.u.
Excess energy over the best structure of this formula in the dataset ... 0 meV/atom
E ... -25.090 eV/f.u.
Density of states at the Fermi level ... 29.02 states/eV/cell

```
PuTeS
1.0
-3.519 0.115 1.435
2.562 -2.226 6.461
1.619 10.862 3.100
Pu Te S
4 4 4
Cartesian
2.275 5.788 7.634
-1.614 2.963 3.362
-0.518 0.609 6.238
1.179 8.142 4.758
0.234 3.364 7.861
2.422 9.068 7.733
-1.761 -0.317 3.263
0.427 5.388 3.135
0.812 2.044 4.347
1.983 0.191 7.366
-0.151 6.707 6.649
-1.321 8.561 3.630
```



# 15
The following is a PBE-GGA calculation of a relaxed Pu2Te2S crystal, from the Alexandria database.

Calculated values
Formation energy without anion corrections ... -1.138 eV/atom
Total magnetization ... 10.0 μB/f.u.
Excess energy over the best structure of this formula in the dataset ... 27 meV/atom
E ... -44.762 eV/f.u.
Density of states at the Fermi level ... 17.42 states/eV/cell

```
Pu2Te2S
1.0
4.206 0.000 0.000
-2.103 3.643 0.000
0.000 0.000 10.522
Te Pu S
2 2 1
Cartesian
0.000 2.429 3.354
2.103 1.214 7.169
2.103 1.214 1.554
0.000 2.429 8.969
0.000 0.000 0.000
```



# 16
The following is a PBE-GGA calculation of a relaxed Pu4Te5S crystal, from the Alexandria database.

Calculated values
Formation energy without anion corrections ... -1.030 eV/atom
Total magnetization ... 0.2 μB/f.u.
E ... -87.461 eV/f.u.
Density of states at the Fermi level ... 49.23 states/eV/cell

```
Pu4Te5S
1.0
4.256 0.000 0.000
0.000 12.286 -1.354
-2.128 -2.199 6.889
Te S Pu
5 1 4
Cartesian
2.128 0.538 4.132
2.128 6.143 -0.677
0.000 9.549 1.403
0.000 3.381 1.813
2.128 6.706 3.722
2.128 0.000 0.000
0.000 6.457 1.511
2.128 3.630 4.024
2.128 9.870 3.675
0.000 0.217 1.860
```



# 17
The following is a PBE-GGA calculation of a relaxed Pu2Te2S crystal, from the Alexandria database.

Calculated values
Formation energy without anion corrections ... -1.164 eV/atom
Total magnetization ... 0.1 μB/f.u.
Excess energy over the best structure of this formula in the dataset ... 0 meV/atom
E ... -44.895 eV/f.u.
Density of states at the Fermi level ... 43.04 states/eV/cell

```
Pu2Te2S
1.0
4.350 0.000 0.000
0.000 8.000 0.000
-2.175 0.000 8.644
Pu Te S
4 4 2
Cartesian
0.000 3.380 7.799
2.175 7.380 0.845
0.000 4.049 3.086
2.175 0.049 5.558
2.175 5.806 7.738
2.175 3.159 5.206
0.000 1.806 0.906
0.000 7.159 3.438
2.175 4.682 1.660
0.000 0.682 6.984
```



# 18
The following is a PBE-GGA calculation of a relaxed PuTeS crystal, from the Alexandria database.

Calculated values
Formation energy without anion corrections ... -1.159 eV/atom
Total magnetization ... 5.3 μB/f.u.
Excess energy over the best structure of this formula in the dataset ... 5 meV/atom
E ... -25.077 eV/f.u.
Density of states at the Fermi level ... 20.50 states/eV/cell

```
PuTeS
1.0
-2.764 -1.158 -2.918
2.645 -2.953 -1.333
-3.432 -3.574 7.666
Pu Te S
2 2 2
Cartesian
-1.174 -3.852 -0.357
-2.377 -3.833 3.772
1.323 -1.476 -0.667
-1.382 -0.579 -1.459
-1.275 -2.056 2.023
-2.276 -5.630 1.392
```



# 19
The following is a PBE-GGA calculation of a relaxed Pu2TeS6 crystal, from the Alexandria database.

Calculated values
Formation energy without anion corrections ... -0.794 eV/atom
Total magnetization ... 8.0 μB/f.u.
E ... -63.716 eV/f.u.
Density of states at the Fermi level ... 30.65 states/eV/cell

```
Pu2TeS6
1.0
-1.508 4.062 -4.489
0.007 -4.625 -4.187
-11.793 -1.982 2.169
S Pu Te
12 4 2
Cartesian
-1.217 2.390 -4.431
-4.219 -3.594 -3.523
-9.075 1.048 -2.984
-3.008 -0.722 -5.667
-10.871 -2.043 -4.221
-5.144 1.709 -3.707
-10.286 -1.824 -0.841
-2.423 -0.502 -2.287
-6.936 -1.381 -4.923
-6.358 -1.164 -1.584
-8.150 -4.254 -2.800
-0.284 -2.953 -4.245
-4.675 -0.941 -3.616
-1.972 -0.331 0.363
-8.619 -1.604 -2.891
-9.822 -1.651 1.806
-0.750 -0.282 -4.338
-5.897 -0.991 1.084
```



# 20
The following is a PBE-GGA calculation of a relaxed PuTeS crystal, from the Alexandria database.

Calculated values
Formation energy without anion corrections ... -1.063 eV/atom
Total magnetization ... 4.0 μB/f.u.
Excess energy over the best structure of this formula in the dataset ... 100 meV/atom
E ... -24.790 eV/f.u.
Density of states at the Fermi level ... 10.67 states/eV/cell

```
PuTeS
1.0
4.198 0.000 0.000
-2.099 3.636 0.000
0.000 0.000 6.611
S Te Pu
1 1 1
Cartesian
0.000 0.000 0.834
0.000 2.424 3.820
2.099 1.212 1.957
```



# 21
The following is a PBE-GGA calculation of a relaxed Pu3TeS4 crystal, from the Alexandria database.

Calculated values
Formation energy without anion corrections ... -1.287 eV/atom
Total magnetization ... 5.2 μB/f.u.
E ... -72.943 eV/f.u.
Density of states at the Fermi level ... 29.79 states/eV/cell

```
Pu3TeS4
1.0
-0.246 4.363 -0.972
-1.595 0.823 4.101
9.321 1.277 3.369
Pu S Te
3 4 1
Cartesian
5.446 3.465 3.866
2.033 2.998 2.632
0.000 0.000 0.000
7.636 3.244 2.318
0.764 0.625 2.615
6.962 1.474 4.855
1.438 2.395 0.078
4.660 0.638 1.684
```



# 22
The following is a PBE-GGA calculation of a relaxed Pu3Te3S crystal, from the Alexandria database.

Calculated values
Formation energy without anion corrections ... -1.082 eV/atom
Total magnetization ... 16.0 μB/f.u.
E ... -64.124 eV/f.u.
Density of states at the Fermi level ... 28.99 states/eV/cell

```
Pu3Te3S
1.0
5.986 0.062 0.083
-1.308 5.842 0.083
-1.308 -1.650 5.604
Te S Pu
3 1 3
Cartesian
2.407 3.038 1.052
-0.447 2.368 3.213
2.407 0.106 3.213
0.029 0.036 0.049
2.954 0.033 0.045
-0.643 -0.811 2.767
-0.643 2.883 0.045
```



# 23
The following is a PBE-GGA calculation of a relaxed PuTeS crystal, from the Alexandria database.

Calculated values
Formation energy without anion corrections ... -1.139 eV/atom
Total magnetization ... 5.1 μB/f.u.
Excess energy over the best structure of this formula in the dataset ... 24 meV/atom
E ... -25.018 eV/f.u.
Density of states at the Fermi level ... 15.78 states/eV/cell

```
PuTeS
1.0
3.899 -0.062 0.042
-0.063 3.899 -0.042
0.090 -0.090 10.604
Te S Pu
2 2 2
Cartesian
1.563 2.273 6.605
2.363 1.474 3.999
1.021 2.815 9.497
2.905 0.932 1.108
0.877 2.959 1.688
3.049 0.788 8.916
```